Density functional theory data (PBE-GGA) for a geometry-optimized Pm6Sn3O structure.

Cell: 7.2314 9.5764 9.5764 Å, 102.13 90.00 90.00°
Last column: nearest neighbours and their distance in Å.
Sites, in units of the cell vectors:
Pm1 0.1726 0.1071 0.5825  1 O 2.34
Sn1 0.4770 0.2766 0.0623  7 Pm 3.09-3.33
Sn2 0.9770 0.0623 0.2766  7 Pm 3.09-3.33
Pm2 0.1995 0.6895 0.6342  4 Sn 3.09-3.28
Pm3 0.6726 0.5825 0.1071  1 O 2.34
Sn3 0.4770 0.9377 0.7234  7 Pm 3.09-3.33
O1 0.0273 0.1990 0.8010  4 Pm 2.31-2.34
Pm4 0.7126 0.2266 0.7734  1 O 2.31
Pm5 0.6995 0.3105 0.3658  4 Sn 3.09-3.28
Pm6 0.1995 0.3658 0.3105  4 Sn 3.09-3.28
Pm7 0.6995 0.6342 0.6895  4 Sn 3.09-3.28
Sn4 0.4084 0.3853 0.6147  7 Pm 3.12-3.25
O2 0.5273 0.8010 0.1990  4 Pm 2.31-2.34
Sn5 0.9084 0.6147 0.3853  7 Pm 3.12-3.25
Sn6 0.9770 0.7234 0.9377  7 Pm 3.09-3.33
Pm8 0.1726 0.4175 0.8929  1 O 2.34
Pm9 0.6388 0.9485 0.0515  1 O 2.34
Pm10 0.6726 0.8929 0.4175  1 O 2.34
Pm11 0.2126 0.7734 0.2266  1 O 2.31
Pm12 0.1388 0.0515 0.9485  1 O 2.34

- crystal system = orthorhombic
- DOS at the Fermi energy (states/eV/f.u.) = 11.14


Density functional theory data (PBE-GGA) for a geometry-optimized Pm12Sn3O5 structure.

Cell: 13.8978 13.8978 13.8978 Å, 109.47 109.47 109.47°
Last column: nearest neighbours and their distance in Å.
Sites, in units of the cell vectors:
Pm1 0.4113 0.3029 0.3132  1 O 2.29
Pm2 0.0982 0.9113 0.1084  1 O 2.29
O1 0.8750 0.6250 0.7500  4 Pm 2.29
Sn1 0.8750 0.1250 0.2500  8 Pm 3.20-3.30
Pm3 0.4018 0.0103 0.3132  1 O 2.29
Sn2 0.7500 0.8750 0.6250  8 Pm 3.20-3.30
O2 0.2500 0.8750 0.1250  4 Pm 2.29
O3 0.5000 0.5000 0.0000  6 Pm 2.58
Pm4 0.1084 0.6971 0.5103  1 O 2.29
Pm5 0.5982 0.9897 0.6868  1 O 2.29
Sn3 0.1250 0.2500 0.8750  8 Pm 3.20-3.30
Pm6 0.8029 0.3132 0.9113  1 O 2.29
Sn4 0.1250 0.8750 0.7500  8 Pm 3.20-3.30
Pm7 0.6084 0.5982 0.9113  1 O 2.29
O4 0.8750 0.2500 0.6250  4 Pm 2.29
Pm8 0.6868 0.4897 0.5982  1 O 2.29
O5 0.1250 0.3750 0.2500  4 Pm 2.29
Pm9 0.8132 0.9113 0.3029  1 O 2.29
Pm10 0.3132 0.8029 0.4113  1 O 2.29
Pm11 0.3029 0.4113 0.8132  1 O 2.29
Pm12 0.4897 0.8029 0.8916  1 O 2.29
Pm13 0.8029 0.4897 0.3916  1 O 2.29
O6 0.1250 0.7500 0.3750  4 Pm 2.29
O7 0.7500 0.6250 0.3750  4 Pm 2.29
O8 0.6250 0.7500 0.8750  4 Pm 2.29
Pm14 0.3916 0.9897 0.8029  1 O 2.29
Pm15 0.1084 0.4113 0.0982  1 O 2.29
Pm16 0.5887 0.8916 0.4018  1 O 2.29
Sn5 0.8750 0.7500 0.1250  8 Pm 3.20-3.30
Sn6 0.3750 0.7500 0.6250  8 Pm 3.20-3.30
Pm17 0.4113 0.1084 0.5982  1 O 2.29
O9 0.0000 0.5000 0.5000  6 Pm 2.58
Sn7 0.6250 0.2500 0.3750  8 Pm 3.20-3.30
Pm18 0.8132 0.9018 0.0103  1 O 2.29
Pm19 0.4018 0.3916 0.5887  1 O 2.29
O10 0.3750 0.1250 0.7500  4 Pm 2.29
Pm20 0.9897 0.3916 0.3029  1 O 2.29
O11 0.5000 0.5000 0.5000  6 Pm 2.58
Pm21 0.6971 0.1084 0.0103  1 O 2.29
Pm22 0.0103 0.4018 0.8132  1 O 2.29
Sn8 0.2500 0.6250 0.8750  8 Pm 3.20-3.30
Pm23 0.3916 0.4018 0.0887  1 O 2.29
Pm24 0.9113 0.0982 0.6084  1 O 2.29
Pm25 0.3029 0.8916 0.9897  1 O 2.29
Pm26 0.9897 0.5982 0.1868  1 O 2.29
Pm27 0.5103 0.3132 0.9018  1 O 2.29
O12 0.7500 0.1250 0.8750  4 Pm 2.29
Pm28 0.5982 0.6084 0.4113  1 O 2.29
Pm29 0.0982 0.1868 0.4897  1 O 2.29
Pm30 0.9113 0.8132 0.8029  1 O 2.29
Pm31 0.6971 0.5887 0.1868  1 O 2.29
Pm32 0.0887 0.9018 0.3916  1 O 2.29
Pm33 0.1868 0.0887 0.6971  1 O 2.29
Pm34 0.6084 0.0103 0.1971  1 O 2.29
Pm35 0.4897 0.6868 0.0982  1 O 2.29
Sn9 0.7500 0.3750 0.1250  8 Pm 3.20-3.30
O13 0.2500 0.3750 0.6250  4 Pm 2.29
O14 0.5000 0.0000 0.0000  6 Pm 2.58
Pm36 0.1868 0.0982 0.9897  1 O 2.29
O15 0.0000 0.5000 0.0000  6 Pm 2.58
Pm37 0.9018 0.0887 0.8916  1 O 2.29
Pm38 0.0103 0.6084 0.6971  1 O 2.29
Pm39 0.8916 0.3029 0.4897  1 O 2.29
O16 0.0000 0.0000 0.0000  6 Pm 2.58
Pm40 0.1971 0.6868 0.0887  1 O 2.29
Pm41 0.5887 0.6971 0.6868  1 O 2.29
O17 0.5000 0.0000 0.5000  6 Pm 2.58
Sn10 0.2500 0.1250 0.3750  8 Pm 3.20-3.30
Sn11 0.3750 0.6250 0.2500  8 Pm 3.20-3.30
Pm42 0.5103 0.1971 0.1084  1 O 2.29
Pm43 0.8916 0.5887 0.9018  1 O 2.29
O18 0.3750 0.2500 0.1250  4 Pm 2.29
Pm44 0.9018 0.8132 0.5103  1 O 2.29
Pm45 0.0887 0.1868 0.1971  1 O 2.29
Pm46 0.3132 0.5103 0.4018  1 O 2.29
Pm47 0.6868 0.1971 0.5887  1 O 2.29
Pm48 0.1971 0.5103 0.6084  1 O 2.29
Sn12 0.6250 0.3750 0.7500  8 Pm 3.20-3.30
O19 0.6250 0.8750 0.2500  4 Pm 2.29
O20 0.0000 0.0000 0.5000  6 Pm 2.58

- crystal system = cubic
- DOS at the Fermi energy (states/eV/f.u.) = 18.81


Density functional theory data (PBE-GGA) for a geometry-optimized Pm5Sn4O structure.

Cell: 6.2306 7.4092 7.4092 Å, 79.82 65.14 65.14°
Last column: nearest neighbours and their distance in Å.
Sites, in units of the cell vectors:
Pm1 0.1111 0.6469 0.1267  1 O 2.56
Pm2 0.8847 0.3531 0.8733  1 O 2.56
Sn1 0.1686 0.2674 0.3983  6 Pm 3.13-3.29, 1 Sn 3.41
Pm3 0.2377 0.8733 0.6469  1 O 2.56
Sn2 0.8344 0.7326 0.6017  6 Pm 3.13-3.29, 1 Sn 3.41
O1 0.0689 0.0000 0.0000  5 Pm 2.34-2.56
Pm4 0.4439 0.0000 0.0000  1 O 2.34
Sn3 0.4361 0.3983 0.7326  6 Pm 3.13-3.29, 1 Sn 3.41
Pm5 0.7580 0.1267 0.3531  1 O 2.56
Sn4 0.5670 0.6017 0.2674  6 Pm 3.13-3.29, 1 Sn 3.41

- crystal system = tetragonal
- DOS at the Fermi energy (states/eV/f.u.) = 6.76


Number 1: formation energy (no corrections) -0.93 eV/atom, E_tot -5.48 eV/atom, density 6.36 g cm⁻³. Number 2: formation energy (no corrections) -1.61 eV/atom, E_tot -6.30 eV/atom, density 6.99 g cm⁻³. Number 3: formation energy (no corrections) -0.97 eV/atom, E_tot -5.44 eV/atom, density 7.17 g cm⁻³.